# 1
DFT (PBE) results for a relaxed PuIn2Br4 crystal.

As for the total DFT energy (no corrections): -0.3452 Ry per atom. The mass density is 4.740 g cm⁻³. The value obtained for the density of states at the Fermi level is 2.409 states/eV per atom. For the uncorrected formation energy, the calculation gives -911 meV per atom. Its symmetry is I4/mmm.

Unit cell a=9.1407 b=9.1407 c=9.1407 alpha=142.76 beta=142.76 gamma=53.69
Element x y z (fractional)
1 Pu 0.0000 0.0000 0.0000
2 In 0.3636 0.3636 0.0000
3 In 0.6364 0.6364 0.0000
4 Br 0.0000 0.5000 0.5000
5 Br 0.1799 0.1799 0.0000
6 Br 0.5000 0.0000 0.5000
7 Br 0.8201 0.8201 0.0000


# 2
DFT (PBE) results for a relaxed ScInHg2 crystal.

As for the total DFT energy (no corrections): -0.1870 Ry per atom. The mass density is 10.183 g cm⁻³. The value obtained for the density of states at the Fermi level is 0.424 states/eV per atom. The formation enthalpy at 0 K is -0.13 eV per atom. Its symmetry is F-43m.

Unit cell a=5.0575 b=5.0575 c=5.0575 alpha=60.00 beta=60.00 gamma=60.00
Element x y z (fractional)
1 Sc 0.0000 0.0000 0.0000
2 In 0.7500 0.7500 0.7500
3 Hg 0.2500 0.2500 0.2500
4 Hg 0.5000 0.5000 0.5000


# 3
DFT (PBE) results for a relaxed Tc2MoAs crystal.

As for the total DFT energy (no corrections): -0.6543 Ry per atom. The mass density is 10.045 g cm⁻³. The value obtained for the density of states at the Fermi level is 0.991 states/eV per atom. The formation enthalpy at 0 K is 0.15 eV per atom. Its symmetry is C2/m.

Unit cell a=4.5740 b=4.5740 c=4.8563 alpha=93.58 beta=93.58 gamma=36.74
Element x y z (fractional)
1 Tc 0.2505 0.2505 0.2433
2 Tc 0.7495 0.7495 0.7567
3 Mo 0.0000 0.0000 0.5000
4 As 0.5000 0.5000 0.0000